(1)
AlCo2 | PBE | optimized geometry

a b c (Å): 11.5856 11.5856 11.5856
angles (deg): 162.58 162.58 24.73
With the nearest neighbours (Å) after each atom.
Positions (direct):
Al 0.2957 0.5457 0.7500  10 Co 2.48-2.64, 2 Al 2.71
Al 0.4543 0.7043 0.7500  10 Co 2.48-2.64, 2 Al 2.71
Al 0.5457 0.2957 0.2500  10 Co 2.48-2.64, 2 Al 2.71
Al 0.7043 0.4543 0.2500  10 Co 2.48-2.64, 2 Al 2.71
Co 0.0414 0.7914 0.2500  6 Al 2.48-2.64, 6 Co 2.57-2.58
Co 0.1251 0.3751 0.7500  8 Co 2.48-2.58, 4 Al 2.51
Co 0.2086 0.9586 0.2500  6 Al 2.48-2.64, 6 Co 2.57-2.58
Co 0.3751 0.1251 0.2500  8 Co 2.48-2.58, 4 Al 2.51
Co 0.6249 0.8749 0.7500  8 Co 2.48-2.58, 4 Al 2.51
Co 0.7914 0.0414 0.7500  6 Al 2.48-2.64, 6 Co 2.57-2.58
Co 0.8749 0.6249 0.2500  8 Co 2.48-2.58, 4 Al 2.51
Co 0.9586 0.2086 0.7500  6 Al 2.48-2.64, 6 Co 2.57-2.58

Computed properties:
crystal system: tetragonal
energy relative to the elements: -0.237 eV per atom

***

(2)
LaNd2Ga | PBE | optimized geometry

a b c (Å): 4.9088 4.9088 4.8402
angles (deg): 90.00 90.00 90.00
With the nearest neighbours (Å) after each atom.
Positions (direct):
La 0.0000 0.0000 0.0000  8 Nd 3.45, 4 Ga 3.47
Nd 0.0000 0.5000 0.5000  4 Ga 3.45, 4 La 3.45, 4 Nd 3.47
Nd 0.5000 0.0000 0.5000  4 Ga 3.45, 4 La 3.45, 4 Nd 3.47
Ga 0.5000 0.5000 0.0000  8 Nd 3.45, 4 La 3.47

Computed properties:
crystal system: tetragonal
distance to the lowest polymorph of the same formula: 0.0107 eV/atom
energy relative to the elements: -0.244 eV per atom

***

no.,size of the total moment (μB per cell)
1,8.1
2,0.0